No. 1
This record from the Open Quantum Materials Database describes crystalline SrSnBiPd2 at its relaxed geometry. The functional is PBE-GGA.

Properties
SG   P4/nmm, No. 129
Theoretical density   8.559 g/cm3
Total energy   -4.670 eV per atom

Cell: 4.6988 4.6988 11.0398 Å, 90.00 90.00 90.00°
Last column: nearest neighbours and their distance in Å.
Fractional positions:
Sn1 0.5000 0.5000 0.5000  4 Pd 2.71
Sn2 0.0000 0.0000 0.5000  4 Pd 2.71
Pd1 0.5000 0.0000 0.6217  4 Sn 2.71, 1 Bi 2.72
Pd2 0.0000 0.5000 0.3783  4 Sn 2.71, 1 Bi 2.72
Pd3 0.0000 0.0000 0.0000  4 Bi 2.76
Pd4 0.5000 0.5000 0.0000  4 Bi 2.76
Bi1 0.0000 0.5000 0.1315  5 Pd 2.72-2.76
Bi2 0.5000 0.0000 0.8685  5 Pd 2.72-2.76
Sr1 0.5000 0.0000 0.2436  4 Bi 3.55, 8 Pd 3.57-3.64, 4 Sn 3.68
Sr2 0.0000 0.5000 0.7564  4 Bi 3.55, 8 Pd 3.57-3.64, 4 Sn 3.68

***

No. 2
This record from the Open Quantum Materials Database describes crystalline NaPr2 at its relaxed geometry. The functional is PBE-GGA.

Properties
SG   Fd-3m, No. 227
Theoretical density   4.416 g/cm3
Total energy   -3.202 eV per atom

Cell: 6.8697 6.8697 6.8697 Å, 60.00 60.00 60.00°
Last column: nearest neighbours and their distance in Å.
Fractional positions:
Na1 0.0000 0.0000 0.0000  12 Pr 4.03, 4 Na 4.21
Na2 0.2500 0.2500 0.2500  12 Pr 4.03, 4 Na 4.21
Pr1 0.1250 0.6250 0.6250  6 Pr 3.43
Pr2 0.6250 0.6250 0.6250  6 Pr 3.43
Pr3 0.6250 0.1250 0.6250  6 Pr 3.43
Pr4 0.6250 0.6250 0.1250  6 Pr 3.43

***

No. 3
This record from the Open Quantum Materials Database describes crystalline Re2Au2O5 at its relaxed geometry. The functional is PBE-GGA.

Properties
SG   P4/mmm, No. 123
Theoretical density   12.116 g/cm3
Total energy   -6.553 eV per atom

Cell: 7.9656 3.8160 3.8160 Å, 90.00 90.00 90.00°
Last column: nearest neighbours and their distance in Å.
Fractional positions:
Au1 0.5000 0.0000 0.0000  12 O 2.70-2.84
Au2 0.0000 0.0000 0.0000  8 O 2.67
O1 0.7646 0.0000 0.5000  2 Re 1.91
O2 0.2354 0.5000 0.0000  2 Re 1.91
O3 0.5000 0.5000 0.5000  2 Re 2.11
O4 0.7646 0.5000 0.0000  2 Re 1.91
O5 0.2354 0.0000 0.5000  2 Re 1.91
Re1 0.7646 0.5000 0.5000  5 O 1.91-2.11
Re2 0.2354 0.5000 0.5000  5 O 1.91-2.11